Record 1
The following is a DFT calculation (PBE-GGA) of a relaxed NaAg2O crystal.

Unit cell a=5.663 b=5.663 c=12.944 alpha=90.00 beta=90.00 gamma=90.00
Space group I-42d (No. 122)
Unique sites:
Na (0.000, 0.000, 0.000) [4 per cell]
Ag (0.002, 0.250, 0.625) [8 per cell]
O (0.000, 0.000, 0.500) [4 per cell]

Summary:
magnetic moment: 0.0 μB/f.u.
crystal system: tetragonal
DOS at the Fermi energy: 4.4 states/eV/cell

---

Record 2
The following is a DFT calculation (PBE-GGA) of a relaxed Na3AgO3 crystal.

Unit cell a=7.4623 b=7.4623 c=4.7563 alpha=90.00 beta=90.00 gamma=120.00
Space group P6_3/m (No. 176)
Unique sites:
Na (0.0825, 0.3355, 0.2500) [6 per cell]
Ag (0.3333, 0.6667, 0.7500) [2 per cell]
O (0.0920, 0.3713, 0.7500) [6 per cell]

Summary:
magnetic moment: 2.0 μB/f.u.
crystal system: hexagonal
DOS at the Fermi energy: 0.6 states/eV/cell
relative energy among the computed polymorphs: 0.000 eV per atom

---

Record 3
The following is a DFT calculation (PBE-GGA) of a relaxed Na2AgO2 crystal.

Unit cell a=6.149 b=6.149 c=3.411 alpha=90.00 beta=90.00 gamma=90.00
Space group P4/mbm (No. 127)
Unique sites:
Na (0.137, 0.363, 0.000) [4 per cell]
Ag (0.000, 0.000, 0.500) [2 per cell]
O (0.178, 0.678, 0.500) [4 per cell]

Summary:
magnetic moment: 0.0 μB/f.u.
crystal system: tetragonal
DOS at the Fermi energy: 1.1 states/eV/cell
relative energy among the computed polymorphs: 0.097 eV per atom

---

Record 4
The following is a DFT calculation (PBE-GGA) of a relaxed Na3Ag2O4 crystal.

Unit cell a=11.268 b=3.179 c=8.189 alpha=90.00 beta=115.16 gamma=90.00
Space group C2/m (No. 12)
Unique sites:
Na (0.000, 0.000, 0.000) [2 per cell]
Na (0.124, 0.500, 0.389) [4 per cell]
Ag (0.176, 0.000, 0.781) [4 per cell]
O (0.078, 0.500, 0.842) [4 per cell]
O (0.235, 0.000, 0.300) [4 per cell]

Summary:
magnetic moment: 0.7 μB/f.u.
crystal system: monoclinic
DOS at the Fermi energy: 8.2 states/eV/cell
relative energy among the computed polymorphs: 0.000 eV per atom

---

Record 5
The following is a DFT calculation (PBE-GGA) of a relaxed NaAgO crystal.

Unit cell a=5.716 b=5.688 c=8.130 alpha=90.00 beta=111.28 gamma=90.00
Space group P2_1/c (No. 14)
Unique sites:
Na (0.068, 0.178, 0.384) [4 per cell]
Ag (0.495, 0.097, 0.240) [4 per cell]
O (0.212, 0.148, 0.686) [4 per cell]

Summary:
magnetic moment: 0.0 μB/f.u.
crystal system: monoclinic

---

Record 6
The following is a DFT calculation (PBE-GGA) of a relaxed Na4AgO2 crystal.

Unit cell a=3.7814 b=3.7814 c=28.6638 alpha=90.00 beta=90.00 gamma=120.00
Space group R-3m (No. 166, hexagonal axes)
Unique sites:
Na (0.0000, 0.0000, 0.0902) [6 per cell]
Na (0.0000, 0.0000, 0.3033) [6 per cell]
Ag (0.0000, 0.0000, 0.5000) [3 per cell]
O (0.0000, 0.0000, 0.3910) [6 per cell]

Summary:
magnetic moment: 0.0 μB/f.u.
crystal system: trigonal
DOS at the Fermi energy: 5.1 states/eV/cell

---

Record 7
The following is a DFT calculation (PBE-GGA) of a relaxed NaAgO crystal.

Unit cell a=5.707 b=3.369 c=5.150 alpha=90.00 beta=90.00 gamma=90.00
Space group Pmma (No. 51)
Unique sites:
Na (0.000, 0.000, 0.000) [2 per cell]
Ag (0.000, 0.500, 0.500) [2 per cell]
O (0.250, 0.500, 0.196) [2 per cell]

Summary:
magnetic moment: 0.0 μB/f.u.
crystal system: orthorhombic

---

Record 8
The following is a DFT calculation (PBE-GGA) of a relaxed Na3Ag2O4 crystal.

Unit cell a=11.629 b=3.275 c=7.769 alpha=90.00 beta=117.49 gamma=90.00
Space group C2/m (No. 12)
Unique sites:
Na (0.000, 0.000, 0.000) [2 per cell]
Na (0.174, 0.500, 0.806) [4 per cell]
Ag (0.142, 0.500, 0.364) [4 per cell]
O (0.012, 0.000, 0.418) [4 per cell]
O (0.169, 0.500, 0.114) [4 per cell]

Summary:
magnetic moment: 0.5 μB/f.u.
crystal system: monoclinic
DOS at the Fermi energy: 11.4 states/eV/cell
relative energy among the computed polymorphs: 0.155 eV per atom

---

Record 9
The following is a DFT calculation (PBE-GGA) of a relaxed Na2AgO2 crystal.

Unit cell a=3.315 b=4.553 c=10.246 alpha=90.00 beta=90.00 gamma=90.00
Space group Immm (No. 71)
Unique sites:
Na (0.000, 0.000, 0.192) [4 per cell]
Ag (0.000, 0.000, 0.500) [2 per cell]
O (0.000, 0.500, 0.141) [4 per cell]

Summary:
magnetic moment: 0.6 μB/f.u.
crystal system: orthorhombic
DOS at the Fermi energy: 3.8 states/eV/cell
relative energy among the computed polymorphs: 0.000 eV per atom

---

Record 10
The following is a DFT calculation (PBE-GGA) of a relaxed Na2AgO2 crystal.

Unit cell a=3.366 b=3.366 c=13.460 alpha=90.00 beta=90.00 gamma=90.00
Space group I4/mmm (No. 139)
Unique sites:
Na (0.000, 0.000, 0.172) [4 per cell]
Ag (0.000, 0.000, 0.500) [2 per cell]
O (0.000, 0.000, 0.351) [4 per cell]

Summary:
magnetic moment: 0.9 μB/f.u.
crystal system: tetragonal
DOS at the Fermi energy: 4.2 states/eV/cell
relative energy among the computed polymorphs: 0.015 eV per atom

---

Record 11
The following is a DFT calculation (PBE-GGA) of a relaxed NaAgO crystal.

Unit cell a=4.0407 b=4.0407 c=4.1360 alpha=90.00 beta=90.00 gamma=120.00
Space group P-6m2 (No. 187)
Unique sites:
Na (0.0000, 0.0000, 0.0000) [1 per cell]
Ag (0.6667, 0.3333, 0.5000) [1 per cell]
O (0.6667, 0.3333, 0.0000) [1 per cell]

Summary:
magnetic moment: 0.0 μB/f.u.
crystal system: hexagonal
DOS at the Fermi energy: 1.1 states/eV/cell

---

Record 12
The following is a DFT calculation (PBE-GGA) of a relaxed NaAgO crystal.

Unit cell a=3.433 b=3.433 c=4.166 alpha=90.00 beta=90.00 gamma=90.00
Space group P4/mmm (No. 123)
Unique sites:
Na (0.000, 0.000, 0.000) [1 per cell]
Ag (0.500, 0.500, 0.500) [1 per cell]
O (0.500, 0.500, 0.000) [1 per cell]

Summary:
magnetic moment: 0.0 μB/f.u.
crystal system: tetragonal
DOS at the Fermi energy: 0.8 states/eV/cell

---

Record 13
The following is a DFT calculation (PBE-GGA) of a relaxed Na3AgO3 crystal.

Unit cell a=10.4272 b=10.4272 c=3.8437 alpha=90.00 beta=90.00 gamma=120.00
Space group R3m (No. 160, hexagonal axes)
Unique sites:
Na (0.1794, 0.3587, 0.0000) [9 per cell]
Ag (0.0000, 0.0000, 0.5552) [3 per cell]
O (0.1102, 0.5551, 0.1649) [9 per cell]

Summary:
magnetic moment: 2.0 μB/f.u.
crystal system: trigonal
relative energy among the computed polymorphs: 0.039 eV per atom

---

Record 14
The following is a DFT calculation (PBE-GGA) of a relaxed NaAgO crystal.

Unit cell a=5.731 b=6.290 c=5.379 alpha=90.00 beta=90.00 gamma=90.00
Space group Cmme (No. 67)
Unique sites:
Na (0.250, 0.000, 0.000) [4 per cell]
Ag (0.250, 0.250, 0.500) [4 per cell]
O (0.000, 0.250, 0.204) [4 per cell]

Summary:
magnetic moment: 0.0 μB/f.u.
crystal system: orthorhombic

---

Record 15
The following is a DFT calculation (PBE-GGA) of a relaxed NaAgOs2O8 crystal.

Unit cell a=7.419 b=7.419 c=7.178 alpha=90.00 beta=90.00 gamma=90.00
Space group I-4m2 (No. 119)
Unique sites:
Na (0.000, 0.000, 0.000) [2 per cell]
Ag (0.000, 0.500, 0.750) [2 per cell]
Os (0.000, 0.000, 0.500) [2 per cell]
Os (0.000, 0.500, 0.250) [2 per cell]
O (0.000, 0.191, 0.648) [8 per cell]
O (0.000, 0.307, 0.106) [8 per cell]

Summary:
magnetic moment: 2.1 μB/f.u.
crystal system: tetragonal
DOS at the Fermi energy: 13.4 states/eV/cell

---

Record 16
The following is a DFT calculation (PBE-GGA) of a relaxed Na4AgOs3O12 crystal.

Unit cell a=7.958 b=7.958 c=7.958 alpha=90.00 beta=90.00 gamma=90.00
Space group Im-3m (No. 229)
Unique sites:
Na (0.250, 0.250, 0.250) [8 per cell]
Ag (0.000, 0.000, 0.000) [2 per cell]
Os (0.000, 0.000, 0.500) [6 per cell]
O (0.000, 0.000, 0.271) [12 per cell]
O (0.000, 0.250, 0.500) [12 per cell]

Summary:
magnetic moment: 0.0 μB/f.u.
crystal system: cubic
DOS at the Fermi energy: 34.7 states/eV/cell

---

Record 17
The following is a DFT calculation (PBE-GGA) of a relaxed Na2AgOsO4 crystal.

Unit cell a=6.180 b=6.180 c=6.601 alpha=90.00 beta=90.00 gamma=90.00
Space group I-42m (No. 121)
Unique sites:
Na (0.000, 0.500, 0.000) [4 per cell]
Ag (0.000, 0.000, 0.000) [2 per cell]
Os (0.000, 0.000, 0.500) [2 per cell]
O (0.160, 0.160, 0.317) [8 per cell]

Summary:
magnetic moment: 1.1 μB/f.u.
crystal system: tetragonal
DOS at the Fermi energy: 4.9 states/eV/cell

---

Record 18
The following is a DFT calculation (PBE-GGA) of a relaxed Na3AgOs2O8 crystal.

Unit cell a=5.9536 b=5.9536 c=7.3281 alpha=90.00 beta=90.00 gamma=120.00
Space group P-3m1 (No. 164)
Unique sites:
Na (0.0000, 0.0000, 0.0000) [1 per cell]
Na (0.3333, 0.6667, 0.6394) [2 per cell]
Ag (0.0000, 0.0000, 0.5000) [1 per cell]
Os (0.3333, 0.6667, 0.1836) [2 per cell]
O (0.1720, 0.3439, 0.2863) [6 per cell]
O (0.3333, 0.6667, 0.9404) [2 per cell]

Summary:
magnetic moment: 4.0 μB/f.u.
crystal system: trigonal
DOS at the Fermi energy: 0.0 states/eV/cell

---

Record 19
The following is a DFT calculation (PBE-GGA) of a relaxed Na2Ag3OsO6 crystal.

Unit cell a=5.733 b=9.933 c=6.622 alpha=90.00 beta=107.91 gamma=90.00
Space group C2/m (No. 12)
Unique sites:
Na (0.000, 0.167, 0.000) [4 per cell]
Ag (0.000, 0.000, 0.500) [2 per cell]
Ag (0.000, 0.351, 0.500) [4 per cell]
Os (0.000, 0.500, 0.000) [2 per cell]
O (0.075, 0.363, 0.829) [8 per cell]
O (0.166, 0.000, 0.829) [4 per cell]

Summary:
magnetic moment: 0.0 μB/f.u.
crystal system: monoclinic
DOS at the Fermi energy: 6.6 states/eV/cell

---

Record 20
The following is a DFT calculation (PBE-GGA) of a relaxed NaAgP2O6 crystal.

Unit cell a=10.658 b=10.837 c=4.722 alpha=90.00 beta=98.92 gamma=90.00
Space group C2/c (No. 15)
Unique sites:
Na (0.000, 0.216, 0.250) [4 per cell]
Ag (0.000, 0.405, 0.750) [4 per cell]
P (0.219, 0.085, 0.782) [8 per cell]
O (0.133, 0.189, 0.679) [8 per cell]
O (0.138, 0.397, 0.186) [8 per cell]
O (0.179, 0.037, 0.082) [8 per cell]

Summary:
magnetic moment: 0.0 μB/f.u.
crystal system: monoclinic
DOS at the Fermi energy: 0.0 states/eV/cell

---

Record 21
The following is a DFT calculation (PBE-GGA) of a relaxed NaAgP2O crystal.

Unit cell a=4.958 b=4.958 c=3.964 alpha=90.00 beta=90.00 gamma=90.00
Space group P4/mmm (No. 123)
Unique sites:
Na (0.000, 0.000, 0.000) [1 per cell]
Ag (0.500, 0.500, 0.500) [1 per cell]
P (0.000, 0.500, 0.000) [2 per cell]
O (0.000, 0.000, 0.500) [1 per cell]

Summary:
magnetic moment: 1.3 μB/f.u.
crystal system: tetragonal
DOS at the Fermi energy: 3.6 states/eV/cell
relative energy among the computed polymorphs: 0.508 eV per atom

---

Record 22
The following is a DFT calculation (PBE-GGA) of a relaxed NaAg2PO4 crystal.

Unit cell a=6.869 b=6.880 c=9.894 alpha=90.00 beta=90.00 gamma=90.00
Space group Fmm2 (No. 42)
Unique sites:
Na (0.000, 0.000, 0.000) [4 per cell]
Ag (0.250, 0.250, 0.250) [8 per cell]
P (0.000, 0.000, 0.499) [4 per cell]
O (0.000, 0.187, 0.589) [8 per cell]
O (0.188, 0.000, 0.410) [8 per cell]

Summary:
magnetic moment: 0.0 μB/f.u.
crystal system: orthorhombic

---

Record 23
The following is a DFT calculation (PBE-GGA) of a relaxed NaAgP2O crystal.

Unit cell a=4.914 b=4.914 c=4.194 alpha=90.00 beta=90.00 gamma=90.00
Space group P4/mmm (No. 123)
Unique sites:
Na (0.000, 0.000, 0.000) [1 per cell]
Ag (0.500, 0.500, 0.500) [1 per cell]
P (0.000, 0.500, 0.500) [2 per cell]
O (0.500, 0.500, 0.000) [1 per cell]

Summary:
magnetic moment: 1.2 μB/f.u.
crystal system: tetragonal
DOS at the Fermi energy: 4.4 states/eV/cell
relative energy among the computed polymorphs: 0.000 eV per atom

---

The following formation energy from raw total energies values (in meV per atom) correspond, in order, to the records above: -52 -789 -765 -771 -741 -828 -722 -616 -863 -848 -649 -706 -750 -771 -916 -1019 -799 -999 -853 -1850 1149 -1424 641.
The following electronic total energy values (in eV/atom) correspond, in order, to the records above: -3.05 -3.89 -3.85 -4.05 -3.78 -3.41 -3.76 -3.89 -3.94 -3.93 -3.69 -3.75 -3.85 -3.81 -6.44 -6.08 -5.37 -5.92 -5.20 -6.32 -2.84 -5.46 -3.35.